Computed, not measured: crystalline Mg14FeCuO16 at its relaxed geometry at the GGA+U level of DFT. Values from VASP.

Results
**Raw total energy**: -0.4323 Ry/atom
**Space group**: P4/mmm, No. 123
**Magnetization**: 0.7 μB per cell
**Crystal system**: tetragonal

```
&SYSTEM
  ibrav = 0, nat = 32, ntyp = 4
/
ATOMIC_SPECIES
Mg 24.30 Mg.upf
O 16.00 O.upf
Fe 55.84 Fe.upf
Cu 63.55 Cu.upf
ATOMIC_POSITIONS angstrom
Mg 4.273 6.396 2.123
Mg 4.273 2.149 2.123
Mg 6.388 0.000 2.123
Mg 0.000 2.157 2.123
Mg 2.142 2.142 0.000
Mg 0.000 4.273 0.000
Mg 6.396 4.273 2.123
Mg 2.142 6.403 0.000
Mg 6.403 6.403 0.000
Mg 0.000 6.388 2.123
Mg 4.273 0.000 0.000
Mg 2.157 0.000 2.123
Mg 6.403 2.142 0.000
Mg 2.149 4.273 2.123
O 4.273 2.111 0.000
O 6.367 0.000 0.000
O 6.410 2.136 2.123
O 0.000 2.179 0.000
O 4.273 6.435 0.000
O 2.136 2.136 2.123
O 2.111 4.273 0.000
O 6.410 6.410 2.123
O 0.000 6.367 0.000
O 0.000 4.273 2.123
O 6.435 4.273 0.000
O 4.273 0.000 2.123
O 2.179 0.000 0.000
O 2.136 6.410 2.123
O 4.273 4.273 2.123
O 0.000 0.000 2.123
Fe 0.000 0.000 0.000
Cu 4.273 4.273 0.000
CELL_PARAMETERS angstrom
8.545 0.000 0.000
0.000 8.545 0.000
0.000 0.000 4.247
```